(1)
CaSbAu2: relaxed, PBE.

abc: 4.831 4.831 9.922
angles: 75.91 75.91 90.00
Fractional positions:
Sb 0.000 0.000 0.000
Sb 0.750 0.250 0.500
Ca 0.500 0.500 0.000
Ca 0.250 0.750 0.500
Au 0.700 0.125 0.250
Au 0.050 0.625 0.250
Au 0.375 0.300 0.750
Au 0.875 0.950 0.750

Output
magnetic moment	0.0	μB/f.u.
space-group type	I-42d (122)
formation energy without anion corrections	-0.3702	eV/atom

=====

(2)
LaTbNd4: relaxed, PBE.

abc: 3.684 12.197 10.350
angles: 115.23 90.00 90.00
Fractional positions:
La 0.000 0.000 0.500
La 0.500 0.500 0.000
Tb 0.500 0.500 0.500
Tb 0.000 0.000 0.000
Nd 0.500 0.167 0.331
Nd 0.000 0.333 0.169
Nd 0.500 0.833 0.669
Nd 0.000 0.667 0.831
Nd 0.000 0.666 0.336
Nd 0.500 0.834 0.164
Nd 0.000 0.334 0.664
Nd 0.500 0.166 0.836

Output
magnetic moment	0.0	μB/f.u.
DFT formation energy	0.0162	eV per atom
space-group type	C2/m (12)
distance to the lowest polymorph of the same formula	0	meV/atom

=====

(3)
PrTm2S4: relaxed, PBE.

abc: 3.854 11.794 14.148
angles: 90.00 90.00 90.00
Fractional positions:
Pr 0.250 0.760 0.332
Pr 0.750 0.240 0.668
Pr 0.250 0.260 0.168
Pr 0.750 0.740 0.832
Tm 0.750 0.062 0.890
Tm 0.250 0.938 0.110
Tm 0.750 0.562 0.610
Tm 0.250 0.438 0.390
Tm 0.250 0.412 0.904
Tm 0.750 0.588 0.096
Tm 0.250 0.912 0.596
Tm 0.750 0.088 0.404
S 0.750 0.095 0.078
S 0.250 0.905 0.922
S 0.750 0.595 0.422
S 0.250 0.405 0.578
S 0.750 0.969 0.716
S 0.250 0.031 0.284
S 0.750 0.469 0.784
S 0.250 0.531 0.216
S 0.750 0.370 0.034
S 0.250 0.630 0.966
S 0.750 0.870 0.466
S 0.250 0.130 0.534
S 0.250 0.202 0.824
S 0.750 0.798 0.176
S 0.250 0.702 0.676
S 0.750 0.298 0.324

Output
magnetic moment	0.0	μB/f.u.
space-group type	Pnma (62)
formation energy without anion corrections	-2.0584	eV/atom
distance to the lowest polymorph of the same formula	8	meV/atom

=====

(4)
Nd4CdTe2Se: relaxed, PBE.

abc: 4.339 7.735 7.721
angles: 71.49 90.00 90.00
Fractional positions:
Nd 0.000 0.743 0.748
Nd 0.000 0.257 0.252
Nd 0.500 0.733 0.262
Nd 0.500 0.267 0.738
Cd 0.500 0.500 0.000
Te 0.000 0.000 0.000
Te 0.500 0.000 0.500
Se 0.000 0.500 0.500

Output
magnetic moment	0.0	μB/f.u.
space-group type	P2/m (10)
formation energy without anion corrections	-1.2228	eV/atom